The following is a DFT calculation (GGA-PBEsol) of TaP2Br after structural relaxation.

Unit cell a=3.5596 b=4.5784 c=5.1906 alpha=90.00 beta=108.72 gamma=90.00
With the nearest neighbours (Å) after each atom.
Sites, in units of the cell vectors:
Br (0.5000, 0.5000, 0.5000)  2 Ta 2.60
P (0.1847, 0.0000, 0.8636)  2 P 2.22-2.24
P (0.8153, 0.0000, 0.1364)  2 P 2.22-2.24
Ta (0.5000, 0.5000, 0.0000)  4 P 2.55, 2 Br 2.60

Calculated values
D(E_F)	2.300	states/eV/cell
calculated total energy	-6.430	eV/atom
total magnetic moment	0.000	μB per atom
E above lowest polymorph	0.000	eV/f.u.

The following is a DFT calculation (GGA-PBEsol) of BaCa2Sc after structural relaxation.

Unit cell a=3.6076 b=6.8979 c=7.0585 alpha=116.68 beta=100.35 gamma=98.93
With the nearest neighbours (Å) after each atom.
Sites, in units of the cell vectors:
Sc (0.0000, 0.5000, 0.0000)  2 Sc 3.61, 2 Ba 3.64, 4 Ca 3.66
Ca (0.0000, 0.0000, 0.5000)  4 Ca 3.61-3.64, 2 Sc 3.66, 2 Ba 3.66
Ca (0.5000, 0.5000, 0.5000)  4 Ca 3.61-3.64, 2 Ba 3.66, 2 Sc 3.66
Ba (0.5000, 0.0000, 0.0000)  2 Ba 3.61, 2 Sc 3.64, 4 Ca 3.66

Calculated values
ΔE_f	24.3	kJ/mol of atoms
D(E_F)	5.037	states/eV/cell
calculated total energy	-3.004	eV/atom
total magnetic moment	0.002	μB per atom
E above lowest polymorph	0.035	eV/f.u.

The following is a DFT calculation (GGA-PBEsol) of LaTc3Au after structural relaxation.

Unit cell a=4.6447 b=4.6447 c=4.6447 alpha=90.00 beta=90.00 gamma=90.00
With the nearest neighbours (Å) after each atom.
Sites, in units of the cell vectors:
Au (0.5000, 0.5000, 0.5000)  12 Tc 3.28
Tc (0.0000, 0.5000, 0.0000)  2 La 2.32
Tc (0.0000, 0.0000, 0.5000)  2 La 2.32
Tc (0.5000, 0.0000, 0.0000)  2 La 2.32
La (0.0000, 0.0000, 0.0000)  6 Tc 2.32

Calculated values
ΔE_f	212.5	kJ/mol of atoms
D(E_F)	6.613	states/eV/cell
calculated total energy	-6.411	eV/atom
total magnetic moment	0.507	μB per atom